Compound: TlVNi2Mo
Source: the Alexandria database
Functional: PBE
Structure: relaxed

Results
Energy relative to the elements = 10.13 eV/f.u.
Fermi-level density of states = 1.663 states/eV/atom
Uncorrected energy = -4.750 eV/atom

Cell: 4.5295 4.5295 4.8892 Å, 90.00 90.00 90.00°
Space group P4/mmm (No. 123)
Unique sites:
Tl: 0.0000 0.0000 0.0000 x1
V: 0.0000 0.0000 0.5000 x1
Ni: 0.0000 0.5000 0.0000 x2
Mo: 0.5000 0.5000 0.5000 x1